Computed, not measured: a geometry-optimized Mn2CuAg structure at the PBE level of DFT.

Calculated values
- calculated formation energy (meV/atom) = 268
- E_tot (eV/atom) = -6.053
- magnetization (μB per atom) = 2.00
- polymorph energy (0 for the lowest one) (meV/atom) = 65
- density of states at the Fermi level (states/eV/atom) = 0.527
- theoretical density (g/cm3) = 7.74

a b c (Å): 2.9862 3.0310 7.3262
angles (deg): 65.55 90.00 90.00
Positions (direct):
1 Ag 0.5000 0.2500 0.2500
2 Cu 0.5000 0.7500 0.7500
3 Mn 0.0000 0.0269 0.9730
4 Mn 0.0000 0.4731 0.5270